(1)
Compound: CuGeIr
Source: Alexandria via LeMat-Bulk
Functional: PBE
Structure: optimized geometry

Computed properties:
- Total magnetic moment: 0.000 Bohr magnetons per cell
- Energy of formation: 0.0541 eV per atom
- Excess energy over the best structure of this formula in the dataset: 107.1 meV per atom

a b c (Å): 4.130 4.923 9.114
angles (deg): 90.00 90.00 90.00
Space group Imma (No. 74)
One atom of each set of equivalent atoms:
Cu 0.000 0.000 0.000 x4
Ge 0.000 0.250 0.389 x4
Ir 0.000 0.250 0.666 x4

---

(2)
Compound: CuGe2Ir2
Source: Alexandria via LeMat-Bulk
Functional: PBE
Structure: optimized geometry

Computed properties:
- Total magnetic moment: 0.000 Bohr magnetons per cell
- Energy of formation: -0.0710 eV per atom
- Excess energy over the best structure of this formula in the dataset: 0.0 meV per atom

a b c (Å): 7.229 7.229 2.897
angles (deg): 90.00 90.00 90.00
Space group P4/mbm (No. 127)
One atom of each set of equivalent atoms:
Cu 0.000 0.000 0.000 x2
Ge 0.154 0.346 0.500 x4
Ir 0.145 0.645 0.000 x4